1.
A plane-wave DFT calculation with PBE was carried out for an optimized crystal structure of Sr3Zn2Cu.

a b c (Å): 12.7068 4.5230 13.0356
angles (deg): 90.00 90.00 90.00
Last column: nearest neighbours and their distance in Å.
Space group Pnma (No. 62)
One atom of each set of equivalent atoms:
Sr: 0.0563 0.2500 0.1262  1 Cu 3.29, 5 Zn 3.37-3.66
Sr: 0.1153 0.7500 0.5576  3 Cu 3.18-3.34, 5 Zn 3.30-3.37
Sr: 0.2124 0.2500 0.8003  2 Cu 3.20, 4 Zn 3.23-3.48
Zn: 0.0337 0.7500 0.3170  2 Cu 2.63
Zn: 0.2066 0.7500 0.9892  1 Cu 2.66
Cu: 0.1239 0.2500 0.3696  3 Zn 2.63-2.66

Output
Crystal system ... orthorhombic
Theoretical density ... 4.05 Mg/m³
Calculated formation energy ... -3.7 kcal/mol of atoms

***

2.
A plane-wave DFT calculation with PBE was carried out for an optimized crystal structure of ThAgH6Ru.

a b c (Å): 4.7629 4.7629 4.3561
angles (deg): 90.00 90.00 120.00
Last column: nearest neighbours and their distance in Å.
Space group P-6m2 (No. 187)
One atom of each set of equivalent atoms:
Th: 0.0000 0.0000 0.0000  12 H 2.57
Ag: 0.3333 0.6667 0.5000  6 H 1.97
H: 0.5196 0.0393 0.2163  1 Ru 1.73, 1 H 1.88
Ru: 0.6667 0.3333 0.5000  6 H 1.73

Output
Crystal system ... hexagonal
Theoretical density ... 8.67 Mg/m³
Calculated total energy ... -0.168 hartree per atom

***

3.
A plane-wave DFT calculation with PBE was carried out for an optimized crystal structure of TaPdSe2.

a b c (Å): 5.9263 5.9263 11.0407
angles (deg): 90.00 90.00 90.00
Last column: nearest neighbours and their distance in Å.
Space group I-42d (No. 122)
One atom of each set of equivalent atoms:
Ta: 0.0000 0.0000 0.0000  4 Se 2.49
Pd: 0.0000 0.0000 0.5000  4 Se 2.53
Se: 0.2441 0.2500 0.1250  2 Ta 2.49, 2 Pd 2.53

Output
Crystal system ... tetragonal
Theoretical density ... 7.63 Mg/m³
Uncorrected formation energy ... -0.15 eV per atom

***

4.
A plane-wave DFT calculation with PBE was carried out for an optimized crystal structure of Dy6Tm8Cd.

a b c (Å): 9.1126 9.1126 6.6414
angles (deg): 90.00 90.00 120.00
Last column: nearest neighbours and their distance in Å.
Space group P-3 (No. 147)
One atom of each set of equivalent atoms:
Dy: 0.0826 0.4006 0.1006  4 Tm 3.15-3.51, 1 Dy 3.17, 1 Cd 3.40
Tm: 0.0192 0.6846 0.3938  4 Dy 3.15-3.51, 5 Tm 3.25-3.52
Tm: 0.3333 0.6667 0.6832  6 Tm 3.25-3.52
Cd: 0.0000 0.0000 0.0000  6 Dy 3.40

Output
Crystal system ... trigonal
Theoretical density ... 8.48 Mg/m³
Calculated formation energy ... 5.4 kcal/mol of atoms

***

5.
A plane-wave DFT calculation with PBE was carried out for an optimized crystal structure of Cs4TeSe4.

a b c (Å): 10.7641 10.7641 7.2069
angles (deg): 90.00 90.00 90.00
Last column: nearest neighbours and their distance in Å.
Space group I4/m (No. 87)
One atom of each set of equivalent atoms:
Cs: 0.0864 0.2952 0.0000  5 Se 3.57-3.93
Te: 0.0000 0.0000 0.5000  4 Se 2.76
Se: 0.0802 0.2435 0.5000  1 Te 2.76

Output
Crystal system ... tetragonal
Theoretical density ... 3.88 Mg/m³
Uncorrected formation energy ... -0.73 eV per atom